*P*
Crystalline HgAs2I6 at its relaxed geometry, computed with PBE-GGA.

```
18
Lattice="7.322 -9.757 0.000 7.322 9.757 0.000 -2.914 0.000 6.927" Properties=species:S:1:pos:R:3 pbc="T T T"
Hg 5.137 9.747 5.195
Hg 6.594 -9.747 1.732
As 4.344 2.044 4.200
As 5.929 2.044 6.191
As 5.801 -2.044 0.736
As 7.386 -2.044 2.727
I 1.348 1.615 0.556
I 4.417 4.435 3.293
I -0.108 -1.615 4.020
I 2.275 2.014 5.791
I 8.770 4.435 0.171
I 3.732 -2.014 2.327
I 7.998 2.014 4.600
I 2.960 -4.435 6.757
I 9.455 -2.014 1.136
I 11.839 1.615 2.908
I 7.313 -4.435 3.634
I 10.382 -1.615 6.371
```



*Q*
Crystalline HgAs2I6 at its relaxed geometry, computed with PBE-GGA.

```
18
Lattice="8.130 -9.986 0.000 8.130 9.986 0.000 -1.212 0.000 5.816" Properties=species:S:1:pos:R:3 pbc="T T T"
Hg 7.221 9.229 4.362
Hg 7.827 -9.229 1.454
As 5.464 2.221 1.955
As 4.858 -2.221 4.863
As 10.189 2.221 0.953
As 9.584 -2.221 3.861
I 2.929 1.817 1.443
I 5.596 4.789 1.985
I 2.323 -1.817 4.351
I 5.383 1.633 5.430
I 10.058 4.789 0.923
I 5.989 -1.633 2.522
I 9.059 1.633 3.295
I 4.990 -4.789 4.893
I 9.665 -1.633 0.386
I 12.725 1.817 1.465
I 9.452 -4.789 3.831
I 12.119 -1.817 4.373
```



Each structure's energy above the most stable one, in eV/atom: *P* 0.000; *Q* 0.040.



*P*
Crystalline HgAsI2N at its relaxed geometry, computed with PBE-GGA.

```
5
Lattice="6.372 0.000 0.000 0.000 6.372 0.000 0.000 0.000 3.625" Properties=species:S:1:pos:R:3 pbc="T T T"
Hg 0.000 0.000 0.000
As 3.186 3.186 1.813
I 0.000 3.186 1.813
I 3.186 0.000 1.813
N 3.186 3.186 0.000
```



*Q*
Crystalline HgAsI2N at its relaxed geometry, computed with PBE-GGA.

```
5
Lattice="6.135 0.000 0.000 0.000 6.135 0.000 0.000 0.000 3.928" Properties=species:S:1:pos:R:3 pbc="T T T"
Hg 0.000 0.000 0.000
As 3.067 3.067 1.964
I 0.000 3.067 0.000
I 3.067 0.000 0.000
N 0.000 0.000 1.964
```



Each structure's energy above the most stable one, in eV/atom: *P* 0.000; *Q* 0.723.



*P*
Crystalline HgAsIO2 at its relaxed geometry, computed with PBE-GGA.

```
5
Lattice="4.013 0.000 0.000 0.000 4.013 0.000 0.000 0.000 6.406" Properties=species:S:1:pos:R:3 pbc="T T T"
Hg 0.000 0.000 0.000
As 2.006 2.006 3.203
I 2.006 2.006 0.000
O 0.000 2.006 3.203
O 2.006 0.000 3.203
```



*Q*
Crystalline HgAsIO2 at its relaxed geometry, computed with PBE-GGA.

```
5
Lattice="4.192 0.000 0.000 0.000 4.192 0.000 0.000 0.000 7.136" Properties=species:S:1:pos:R:3 pbc="T T T"
Hg 0.000 0.000 0.000
As 2.096 2.096 3.568
I 0.000 0.000 3.568
O 0.000 2.096 0.000
O 2.096 0.000 0.000
```



Each structure's energy above the most stable one, in eV/atom: *P* 0.000; *Q* 0.751.



*P*
Crystalline RbHgAsI2 at its relaxed geometry, computed with PBE-GGA.

```
5
Lattice="6.074 0.000 0.000 0.000 6.074 0.000 0.000 0.000 5.465" Properties=species:S:1:pos:R:3 pbc="T T T"
Rb 0.000 0.000 0.000
Hg 3.037 3.037 0.000
As 3.037 3.037 2.732
I 0.000 3.037 2.732
I 3.037 0.000 2.732
```



*Q*
Crystalline RbHgAsI2 at its relaxed geometry, computed with PBE-GGA.

```
5
Lattice="6.001 0.000 0.000 0.000 6.001 0.000 0.000 0.000 7.002" Properties=species:S:1:pos:R:3 pbc="T T T"
Rb 0.000 0.000 0.000
Hg 0.000 0.000 3.501
As 3.000 3.000 0.000
I 0.000 3.000 3.501
I 3.000 0.000 3.501
```



Each structure's energy above the most stable one, in eV/atom: *P* 0.000; *Q* 0.594.



*P*
Crystalline HgSb2AsI at its relaxed geometry, computed with PBE-GGA.

```
5
Lattice="5.634 0.000 0.000 0.000 5.634 0.000 0.000 0.000 5.706" Properties=species:S:1:pos:R:3 pbc="T T T"
Hg 0.000 0.000 0.000
Sb 0.000 2.817 0.000
Sb 2.817 0.000 0.000
As 2.817 2.817 2.853
I 0.000 0.000 2.853
```



*Q*
Crystalline HgSb2AsI at its relaxed geometry, computed with PBE-GGA.

```
5
Lattice="5.444 0.000 0.000 0.000 5.444 0.000 0.000 0.000 5.932" Properties=species:S:1:pos:R:3 pbc="T T T"
Hg 0.000 0.000 0.000
Sb 0.000 2.722 2.966
Sb 2.722 0.000 2.966
As 2.722 2.722 2.966
I 2.722 2.722 0.000
```



Each structure's energy above the most stable one, in eV/atom: *P* 0.445; *Q* 0.000.



*P*
Crystalline InHg2As2 at its relaxed geometry, computed with PBE-GGA.

```
10
Lattice="7.850 0.000 0.000 0.000 7.850 0.000 0.000 0.000 4.054" Properties=species:S:1:pos:R:3 pbc="T T T"
In 0.000 0.000 0.000
In 3.925 3.925 0.000
Hg 1.017 2.908 2.027
Hg 2.908 6.833 2.027
Hg 4.942 1.017 2.027
Hg 6.833 4.942 2.027
As 1.544 5.469 0.000
As 2.380 1.544 0.000
As 5.469 6.305 0.000
As 6.305 2.380 0.000
```



*Q*
Crystalline InHg2As2 at its relaxed geometry, computed with PBE-GGA.

```
5
Lattice="-2.667 2.667 4.586 2.667 -2.667 4.586 2.667 2.667 -4.586" Properties=species:S:1:pos:R:3 pbc="T T T"
In 0.000 0.000 0.000
Hg 2.667 0.000 2.293
Hg 0.000 2.667 2.293
As 0.000 0.000 3.364
As 0.000 0.000 5.809
```



*R*
Crystalline InHg2As2 at its relaxed geometry, computed with PBE-GGA.

```
5
Lattice="-1.875 1.875 9.156 1.875 -1.875 9.156 1.875 1.875 -9.156" Properties=species:S:1:pos:R:3 pbc="T T T"
In 0.000 0.000 0.000
Hg 0.000 0.000 7.228
Hg 0.000 0.000 11.084
As 1.875 0.000 4.578
As 0.000 1.875 4.578
```



Each structure's energy above the most stable one, in eV/atom: *P* 0.091; *Q* 0.019; *R* 0.000.